Entry 1:
The following is a PBE calculation of a relaxed Y4Ge6Ru7 crystal, from Alexandria.

## Properties
Total magnetization (μB/cell): 0.00
Raw total energy (eV/cell): -128.8
Mass density (g/cm3): 8.442

Structure (CIF):
```
data_Y4Ge6Ru7
_symmetry_space_group_name_H-M 'P 1'
_symmetry_Int_Tables_number 1
_symmetry_space_group_name_Hall 'P 1'
_cell_length_a 7.262
_cell_length_b 7.262
_cell_length_c 7.262
_cell_angle_alpha 109.47
_cell_angle_beta 109.47
_cell_angle_gamma 109.47
loop_
_atom_site_label
_atom_site_type_symbol
_atom_site_fract_x
_atom_site_fract_y
_atom_site_fract_z
Y1 Y 0.000 0.000 0.500
Y2 Y 0.000 0.500 0.000
Y3 Y 0.500 0.000 0.000
Y4 Y 0.500 0.500 0.500
Ge1 Ge 0.000 0.317 0.317
Ge2 Ge 0.000 0.683 0.683
Ge3 Ge 0.317 0.000 0.317
Ge4 Ge 0.317 0.317 0.000
Ge5 Ge 0.683 0.000 0.683
Ge6 Ge 0.683 0.683 0.000
Ru1 Ru 0.000 0.000 0.000
Ru2 Ru 0.250 0.500 0.750
Ru3 Ru 0.250 0.750 0.500
Ru4 Ru 0.500 0.250 0.750
Ru5 Ru 0.500 0.750 0.250
Ru6 Ru 0.750 0.250 0.500
Ru7 Ru 0.750 0.500 0.250
```



Entry 2:
The following is a PBE calculation of a relaxed Tm3GeAs2Rh9 crystal, from Alexandria.

## Properties
Total magnetization (μB/cell): 0.00
Raw total energy (eV/cell): -100.4
Mass density (g/cm3): 9.219

Structure (CIF):
```
data_Tm3GeAs2Rh9
_symmetry_space_group_name_H-M 'P 1'
_symmetry_Int_Tables_number 1
_symmetry_space_group_name_Hall 'P 1'
_cell_length_a 6.294
_cell_length_b 6.294
_cell_length_c 8.692
_cell_angle_alpha 90.00
_cell_angle_beta 90.00
_cell_angle_gamma 120.00
loop_
_atom_site_label
_atom_site_type_symbol
_atom_site_fract_x
_atom_site_fract_y
_atom_site_fract_z
Tm1 Tm 0.000 0.000 0.000
Tm2 Tm 0.333 0.667 0.734
Tm3 Tm 0.667 0.333 0.266
Ge1 Ge 0.000 0.000 0.500
As1 As 0.333 0.667 0.180
As2 As 0.667 0.333 0.820
Rh1 Rh 0.000 0.500 0.000
Rh2 Rh 0.141 0.281 0.278
Rh3 Rh 0.141 0.859 0.278
Rh4 Rh 0.281 0.141 0.722
Rh5 Rh 0.500 0.000 0.000
Rh6 Rh 0.500 0.500 0.000
Rh7 Rh 0.719 0.859 0.278
Rh8 Rh 0.859 0.141 0.722
Rh9 Rh 0.859 0.719 0.722
```



Entry 3:
The following is a PBE calculation of a relaxed AcGe2Pt crystal, from Alexandria.

## Properties
Total magnetization (μB/cell): 0.00
Raw total energy (eV/cell): -19.9
Mass density (g/cm3): 7.940

Structure (CIF):
```
data_AcGe2Pt
_symmetry_space_group_name_H-M 'P 1'
_symmetry_Int_Tables_number 1
_symmetry_space_group_name_Hall 'P 1'
_cell_length_a 8.184
_cell_length_b 8.184
_cell_length_c 8.184
_cell_angle_alpha 29.64
_cell_angle_beta 29.64
_cell_angle_gamma 29.64
loop_
_atom_site_label
_atom_site_type_symbol
_atom_site_fract_x
_atom_site_fract_y
_atom_site_fract_z
Ac1 Ac 0.000 0.000 0.000
Ge1 Ge 0.132 0.132 0.132
Ge2 Ge 0.868 0.868 0.868
Pt1 Pt 0.500 0.500 0.500
```